Crystalline PmHo7Tl2 at its relaxed geometry, computed with PBE.

```
data_PmHo7Tl2
_symmetry_space_group_name_H-M 'C m m m'
_symmetry_Int_Tables_number 65
_symmetry_space_group_name_Hall '-C 2 2'
_cell_length_a 9.134
_cell_length_b 15.320
_cell_length_c 5.434
_cell_angle_alpha 90.00
_cell_angle_beta 90.00
_cell_angle_gamma 90.00
loop_
_atom_site_label
_atom_site_fract_x
_atom_site_fract_y
_atom_site_fract_z
Pm1 0.000 0.000 0.000
Ho1 0.000 0.230 0.000
Ho2 0.000 0.500 0.500
Ho3 0.181 0.122 0.500
Tl1 0.000 0.305 0.500
```

Summary:
The volume is 760.37 Å³ per cell.


Crystalline Pm7Ho3Tl at its relaxed geometry, computed with PBE.

```
data_Pm7Ho3Tl
_symmetry_space_group_name_H-M 'P 3 m 1'
_symmetry_Int_Tables_number 156
_cell_length_a 7.0710
_cell_length_b 7.0710
_cell_length_c 8.5973
_cell_angle_alpha 90.00
_cell_angle_beta 90.00
_cell_angle_gamma 120.00
loop_
_symmetry_equiv_pos_as_xyz
'x,y,z'
'-y,x-y,z'
'-x+y,-x,z'
'-y,-x,z'
'-x+y,y,z'
'x,x-y,z'
loop_
_atom_site_label
_atom_site_fract_x
_atom_site_fract_y
_atom_site_fract_z
Pm1 0.0000 0.0000 0.0000
Pm2 0.1640 0.3280 0.6606
Pm3 0.5019 0.0039 0.9926
Ho1 0.3318 0.1659 0.3286
Tl1 0.6667 0.3333 0.6504
```

Summary:
The volume is 372.27 Å³ per cell.


Crystalline Pm12Ho7Tl at its relaxed geometry, computed with PBE.

```
data_Pm12Ho7Tl
_symmetry_space_group_name_H-M 'R -3'
_symmetry_Int_Tables_number 148
_symmetry_space_group_name_Hall '-R 3'
_cell_length_a 12.2156
_cell_length_b 12.2156
_cell_length_c 15.3911
_cell_angle_alpha 90.00
_cell_angle_beta 90.00
_cell_angle_gamma 120.00
loop_
_atom_site_label
_atom_site_fract_x
_atom_site_fract_y
_atom_site_fract_z
Pm1 0.0282 0.5789 0.2120
Pm2 0.0576 0.4682 0.5840
Ho1 0.0000 0.0000 0.0000
Ho2 0.0507 0.8652 0.3031
Tl1 0.0000 0.0000 0.5000
```

Summary:
The volume is 1988.99 Å³ per cell.


Crystalline Pm5Ho4Tl2 at its relaxed geometry, computed with PBE.

```
data_Pm5Ho4Tl2
_symmetry_space_group_name_H-M 'P 1 2/m 1'
_symmetry_Int_Tables_number 10
_cell_length_a 8.850
_cell_length_b 3.585
_cell_length_c 11.167
_cell_angle_alpha 90.00
_cell_angle_beta 93.96
_cell_angle_gamma 90.00
loop_
_symmetry_equiv_pos_as_xyz
'x,y,z'
'-x,-y,-z'
'-x,y,-z'
'x,-y,z'
loop_
_atom_site_label
_atom_site_fract_x
_atom_site_fract_y
_atom_site_fract_z
Pm1 0.000 0.000 0.000
Pm2 0.039 0.000 0.338
Pm3 0.300 0.000 0.834
Ho1 0.285 0.500 0.554
Ho2 0.349 0.500 0.106
Tl1 0.412 0.000 0.341
```

Summary:
The volume is 353.47 Å³ per cell.


Crystalline Pm3Ho2Tl2 at its relaxed geometry, computed with PBE.

```
data_Pm3Ho2Tl2
_symmetry_space_group_name_H-M 'C m m m'
_symmetry_Int_Tables_number 65
_symmetry_space_group_name_Hall '-C 2 2'
_cell_length_a 5.003
_cell_length_b 23.918
_cell_length_c 3.549
_cell_angle_alpha 90.00
_cell_angle_beta 90.00
_cell_angle_gamma 90.00
loop_
_atom_site_label
_atom_site_fract_x
_atom_site_fract_y
_atom_site_fract_z
Pm1 0.000 0.000 0.000
Pm2 0.000 0.145 0.000
Ho1 0.000 0.287 0.500
Tl1 0.000 0.427 0.500
```

Summary:
The volume is 424.68 Å³ per cell.


Crystalline Pm12Ho6Tl at its relaxed geometry, computed with PBE.

```
data_Pm12Ho6Tl
_symmetry_space_group_name_H-M 'R -3'
_symmetry_Int_Tables_number 148
_symmetry_space_group_name_Hall '-R 3'
_cell_length_a 12.0084
_cell_length_b 12.0084
_cell_length_c 15.2225
_cell_angle_alpha 90.00
_cell_angle_beta 90.00
_cell_angle_gamma 120.00
loop_
_atom_site_label
_atom_site_fract_x
_atom_site_fract_y
_atom_site_fract_z
Pm1 0.0059 0.8287 0.3131
Pm2 0.0466 0.1998 0.9156
Ho1 0.0231 0.5899 0.1895
Tl1 0.0000 0.0000 0.5000
```

Summary:
The volume is 1901.03 Å³ per cell.


Crystalline Pm6HoTl5 at its relaxed geometry, computed with PBE.

```
data_Pm6HoTl5
_symmetry_space_group_name_H-M 'I m m m'
_symmetry_Int_Tables_number 71
_symmetry_space_group_name_Hall '-I 2 2'
_cell_length_a 5.077
_cell_length_b 9.069
_cell_length_c 15.427
_cell_angle_alpha 90.00
_cell_angle_beta 90.00
_cell_angle_gamma 90.00
loop_
_atom_site_label
_atom_site_fract_x
_atom_site_fract_y
_atom_site_fract_z
Pm1 0.000 0.232 0.000
Pm2 0.000 0.261 0.329
Ho1 0.000 0.000 0.500
Tl1 0.000 0.000 0.174
Tl2 0.000 0.500 0.149
Tl3 0.000 0.500 0.500
```

Summary:
The volume is 710.34 Å³ per cell.


Crystalline Pm7HoTl5 at its relaxed geometry, computed with PBE.

```
data_Pm7HoTl5
_symmetry_space_group_name_H-M 'I m m 2'
_symmetry_Int_Tables_number 44
_cell_length_a 6.760
_cell_length_b 10.821
_cell_length_c 11.124
_cell_angle_alpha 90.00
_cell_angle_beta 90.00
_cell_angle_gamma 90.00
loop_
_symmetry_equiv_pos_as_xyz
'x,y,z'
'-x,-y,z'
'-x,y,z'
'x,-y,z'
'x+1/2,y+1/2,z+1/2'
'-x+1/2,-y+1/2,z+1/2'
'-x+1/2,y+1/2,z+1/2'
'x+1/2,-y+1/2,z+1/2'
loop_
_atom_site_label
_atom_site_fract_x
_atom_site_fract_y
_atom_site_fract_z
Pm1 0.000 0.000 0.000
Pm2 0.000 0.000 0.334
Pm3 0.000 0.314 0.109
Pm4 0.000 0.334 0.624
Pm5 0.000 0.500 0.350
Ho1 0.000 0.000 0.671
Tl1 0.000 0.500 0.878
Tl2 0.243 0.238 0.865
```

Summary:
The volume is 813.82 Å³ per cell.


Crystalline Pm4Ho3Tl at its relaxed geometry, computed with PBE.

```
data_Pm4Ho3Tl
_symmetry_space_group_name_H-M 'P m n 21'
_symmetry_Int_Tables_number 31
_cell_length_a 11.380
_cell_length_b 6.287
_cell_length_c 7.035
_cell_angle_alpha 90.00
_cell_angle_beta 90.00
_cell_angle_gamma 90.00
loop_
_symmetry_equiv_pos_as_xyz
'x,y,z'
'-x+1/2,-y,z+1/2'
'-x,y,z'
'x+1/2,-y,z+1/2'
loop_
_atom_site_label
_atom_site_fract_x
_atom_site_fract_y
_atom_site_fract_z
Pm1 0.000 0.165 0.000
Pm2 0.000 0.689 0.751
Pm3 0.239 0.973 0.252
Ho1 0.000 0.179 0.505
Ho2 0.249 0.501 0.004
Tl1 0.000 0.646 0.256
```

Summary:
The volume is 503.27 Å³ per cell.


Crystalline PmHo2Tl at its relaxed geometry, computed with PBE.

```
data_PmHo2Tl
_symmetry_space_group_name_H-M 'P 4/m m m'
_symmetry_Int_Tables_number 123
_symmetry_space_group_name_Hall '-P 4 2'
_cell_length_a 3.637
_cell_length_b 3.637
_cell_length_c 9.121
_cell_angle_alpha 90.00
_cell_angle_beta 90.00
_cell_angle_gamma 90.00
loop_
_atom_site_label
_atom_site_fract_x
_atom_site_fract_y
_atom_site_fract_z
Pm1 0.000 0.000 0.000
Ho1 0.500 0.500 0.275
Tl1 0.000 0.000 0.500
```

Summary:
The volume is 120.68 Å³ per cell.


Crystalline PmHo7Tl4 at its relaxed geometry, computed with PBE.

```
data_PmHo7Tl4
_symmetry_space_group_name_H-M 'C 1 2/m 1'
_symmetry_Int_Tables_number 12
_cell_length_a 14.702
_cell_length_b 5.722
_cell_length_c 10.177
_cell_angle_alpha 90.00
_cell_angle_beta 122.86
_cell_angle_gamma 90.00
loop_
_symmetry_equiv_pos_as_xyz
'x,y,z'
'-x,-y,-z'
'-x,y,-z'
'x,-y,z'
'x+1/2,y+1/2,z'
'-x+1/2,-y+1/2,-z'
'-x+1/2,y+1/2,-z'
'x+1/2,-y+1/2,z'
loop_
_atom_site_label
_atom_site_fract_x
_atom_site_fract_y
_atom_site_fract_z
Pm1 0.000 0.000 0.000
Ho1 0.000 0.500 0.000
Ho2 0.064 0.000 0.400
Ho3 0.208 0.000 0.878
Ho4 0.230 0.500 0.671
Tl1 0.058 0.500 0.744
Tl2 0.186 0.500 0.334
```

Summary:
The volume is 719.10 Å³ per cell.


Crystalline PmHo2Tl2 at its relaxed geometry, computed with PBE.

```
data_PmHo2Tl2
_symmetry_space_group_name_H-M 'P 1 21/m 1'
_symmetry_Int_Tables_number 11
_cell_length_a 3.783
_cell_length_b 5.437
_cell_length_c 14.174
_cell_angle_alpha 90.00
_cell_angle_beta 97.69
_cell_angle_gamma 90.00
loop_
_symmetry_equiv_pos_as_xyz
'x,y,z'
'-x,-y,-z'
'-x,y+1/2,-z'
'x,-y+1/2,z'
loop_
_atom_site_label
_atom_site_fract_x
_atom_site_fract_y
_atom_site_fract_z
Pm1 0.147 0.250 0.297
Ho1 0.050 0.750 0.099
Ho2 0.237 0.750 0.474
Tl1 0.356 0.250 0.711
Tl2 0.453 0.750 0.906
```

Summary:
The volume is 288.93 Å³ per cell.


Crystalline Pm2HoTl4 at its relaxed geometry, computed with PBE.

```
data_Pm2HoTl4
_symmetry_space_group_name_H-M 'I 4/m m m'
_symmetry_Int_Tables_number 139
_symmetry_space_group_name_Hall '-I 4 2'
_cell_length_a 7.370
_cell_length_b 7.370
_cell_length_c 8.058
_cell_angle_alpha 90.00
_cell_angle_beta 90.00
_cell_angle_gamma 90.00
loop_
_atom_site_label
_atom_site_fract_x
_atom_site_fract_y
_atom_site_fract_z
Pm1 0.000 0.500 0.000
Ho1 0.000 0.000 0.000
Tl1 0.250 0.250 0.250
```

Summary:
The volume is 437.72 Å³ per cell.


Crystalline PmHo2Tl at its relaxed geometry, computed with PBE.

```
data_PmHo2Tl
_symmetry_space_group_name_H-M 'P 1 21/m 1'
_symmetry_Int_Tables_number 11
_cell_length_a 4.703
_cell_length_b 4.824
_cell_length_c 11.187
_cell_angle_alpha 90.00
_cell_angle_beta 102.13
_cell_angle_gamma 90.00
loop_
_symmetry_equiv_pos_as_xyz
'x,y,z'
'-x,-y,-z'
'-x,y+1/2,-z'
'x,-y+1/2,z'
loop_
_atom_site_label
_atom_site_fract_x
_atom_site_fract_y
_atom_site_fract_z
Pm1 0.192 0.250 0.386
Ho1 0.056 0.750 0.113
Ho2 0.436 0.750 0.871
Tl1 0.337 0.250 0.675
```

Summary:
The volume is 248.12 Å³ per cell.


Crystalline PmHo5Tl at its relaxed geometry, computed with PBE.

```
data_PmHo5Tl
_symmetry_space_group_name_H-M 'I m m 2'
_symmetry_Int_Tables_number 44
_cell_length_a 7.942
_cell_length_b 11.469
_cell_length_c 6.227
_cell_angle_alpha 90.00
_cell_angle_beta 90.00
_cell_angle_gamma 90.00
loop_
_symmetry_equiv_pos_as_xyz
'x,y,z'
'-x,-y,z'
'-x,y,z'
'x,-y,z'
'x+1/2,y+1/2,z+1/2'
'-x+1/2,-y+1/2,z+1/2'
'-x+1/2,y+1/2,z+1/2'
'x+1/2,-y+1/2,z+1/2'
loop_
_atom_site_label
_atom_site_fract_x
_atom_site_fract_y
_atom_site_fract_z
Pm1 0.000 0.000 0.000
Ho1 0.000 0.254 0.594
Ho2 0.000 0.500 0.290
Ho3 0.186 0.000 0.500
Tl1 0.000 0.500 0.763
```

Summary:
The volume is 567.19 Å³ per cell.


Crystalline Pm2HoTl2 at its relaxed geometry, computed with PBE.

```
data_Pm2HoTl2
_symmetry_space_group_name_H-M 'P 4/m b m'
_symmetry_Int_Tables_number 127
_symmetry_space_group_name_Hall '-P 4 2ab'
_cell_length_a 8.198
_cell_length_b 8.198
_cell_length_c 4.565
_cell_angle_alpha 90.00
_cell_angle_beta 90.00
_cell_angle_gamma 90.00
loop_
_atom_site_label
_atom_site_fract_x
_atom_site_fract_y
_atom_site_fract_z
Pm1 0.171 0.329 0.000
Ho1 0.000 0.000 0.500
Tl1 0.131 0.631 0.500
```

Summary:
The volume is 306.79 Å³ per cell.


Crystalline PmHo8Tl2 at its relaxed geometry, computed with PBE.

```
data_PmHo8Tl2
_symmetry_space_group_name_H-M 'C 1 2/m 1'
_symmetry_Int_Tables_number 12
_cell_length_a 8.828
_cell_length_b 15.107
_cell_length_c 5.614
_cell_angle_alpha 90.00
_cell_angle_beta 113.72
_cell_angle_gamma 90.00
loop_
_symmetry_equiv_pos_as_xyz
'x,y,z'
'-x,-y,-z'
'-x,y,-z'
'x,-y,z'
'x+1/2,y+1/2,z'
'-x+1/2,-y+1/2,-z'
'-x+1/2,y+1/2,-z'
'x+1/2,-y+1/2,z'
loop_
_atom_site_label
_atom_site_fract_x
_atom_site_fract_y
_atom_site_fract_z
Pm1 0.000 0.000 0.000
Ho1 0.000 0.219 0.000
Ho2 0.095 0.500 0.796
Ho3 0.209 0.114 0.620
Tl1 0.000 0.306 0.500
```

Summary:
The volume is 685.56 Å³ per cell.


Crystalline Pm9Ho2Tl at its relaxed geometry, computed with PBE.

```
data_Pm9Ho2Tl
_symmetry_space_group_name_H-M 'P 4/m m m'
_symmetry_Int_Tables_number 123
_symmetry_space_group_name_Hall '-P 4 2'
_cell_length_a 5.037
_cell_length_b 5.037
_cell_length_c 15.432
_cell_angle_alpha 90.00
_cell_angle_beta 90.00
_cell_angle_gamma 90.00
loop_
_atom_site_label
_atom_site_fract_x
_atom_site_fract_y
_atom_site_fract_z
Pm1 0.000 0.000 0.000
Pm2 0.000 0.000 0.330
Pm3 0.000 0.500 0.163
Pm4 0.000 0.500 0.500
Ho1 0.500 0.500 0.332
Tl1 0.500 0.500 0.000
```

Summary:
The volume is 391.47 Å³ per cell.


Crystalline Pm5Ho2Tl4 at its relaxed geometry, computed with PBE.

```
data_Pm5Ho2Tl4
_symmetry_space_group_name_H-M 'C 1 2/m 1'
_symmetry_Int_Tables_number 12
_cell_length_a 24.689
_cell_length_b 3.506
_cell_length_c 8.094
_cell_angle_alpha 90.00
_cell_angle_beta 93.11
_cell_angle_gamma 90.00
loop_
_symmetry_equiv_pos_as_xyz
'x,y,z'
'-x,-y,-z'
'-x,y,-z'
'x,-y,z'
'x+1/2,y+1/2,z'
'-x+1/2,-y+1/2,-z'
'-x+1/2,y+1/2,-z'
'x+1/2,-y+1/2,z'
loop_
_atom_site_label
_atom_site_fract_x
_atom_site_fract_y
_atom_site_fract_z
Pm1 0.000 0.000 0.000
Pm2 0.141 0.500 0.127
Pm3 0.234 0.500 0.790
Ho1 0.090 0.500 0.719
Tl1 0.038 0.500 0.352
Tl2 0.166 0.000 0.474
```

Summary:
The volume is 699.51 Å³ per cell.


Crystalline PmHo3Tl5 at its relaxed geometry, computed with PBE.

```
data_PmHo3Tl5
_symmetry_space_group_name_H-M 'P 63/m c m'
_symmetry_Int_Tables_number 193
_symmetry_space_group_name_Hall '-P 6c 2'
_cell_length_a 9.3916
_cell_length_b 9.3916
_cell_length_c 6.5600
_cell_angle_alpha 90.00
_cell_angle_beta 90.00
_cell_angle_gamma 120.00
loop_
_atom_site_label
_atom_site_fract_x
_atom_site_fract_y
_atom_site_fract_z
Pm1 0.0000 0.0000 0.0000
Ho1 0.0000 0.3666 0.2500
Tl1 0.0000 0.3049 0.7500
Tl2 0.3333 0.6667 0.0000
```

Summary:
The volume is 501.09 Å³ per cell.


Crystalline Pm4Ho3Tl2 at its relaxed geometry, computed with PBE.

```
data_Pm4Ho3Tl2
_symmetry_space_group_name_H-M 'C 1 2/c 1'
_symmetry_Int_Tables_number 15
_cell_length_a 14.439
_cell_length_b 12.473
_cell_length_c 6.618
_cell_angle_alpha 90.00
_cell_angle_beta 107.84
_cell_angle_gamma 90.00
loop_
_symmetry_equiv_pos_as_xyz
'x,y,z'
'-x,-y,-z'
'-x,y,-z+1/2'
'x,-y,z+1/2'
'x+1/2,y+1/2,z'
'-x+1/2,-y+1/2,-z'
'-x+1/2,y+1/2,-z+1/2'
'x+1/2,-y+1/2,z+1/2'
loop_
_atom_site_label
_atom_site_fract_x
_atom_site_fract_y
_atom_site_fract_z
Pm1 0.063 0.229 0.023
Pm2 0.189 0.323 0.653
Ho1 0.000 0.492 0.750
Ho2 0.114 0.042 0.458
Tl1 0.211 0.418 0.140
```

Summary:
The volume is 1134.62 Å³ per cell.


no.,formation enthalpy at 0 K (eV per atom)
1,0.37
2,0.13
3,0.16
4,-0.03
5,-0.10
6,0.08
7,-0.30
8,-0.17
9,-0.05
10,-0.17
11,-0.01
12,-0.28
13,-0.23
14,-0.16
15,0.71
16,-0.31
17,0.00
18,-0.05
19,-0.04
20,-0.28
21,-0.10